# 1
The following is a PBE calculation of crystalline NaZnHg at its relaxed geometry, from Alexandria via LeMat-Bulk.

Geometry as CIF:
```
data_NaZnHg
_symmetry_space_group_name_H-M 'P 1'
_symmetry_Int_Tables_number 1
_cell_length_a 4.821
_cell_length_b 4.821
_cell_length_c 3.372
_cell_angle_alpha 90.00
_cell_angle_beta 90.00
_cell_angle_gamma 120.00
loop_
_symmetry_equiv_pos_as_xyz
'x,y,z'
loop_
_atom_site_label
_atom_site_type_symbol
_atom_site_fract_x
_atom_site_fract_y
_atom_site_fract_z
_atom_site_occupancy
Na1 Na 0.000 0.000 0.000 1
Zn1 Zn 0.333 0.667 0.500 1
Hg1 Hg 0.667 0.333 0.500 1
```

Results
Its formation energy is -0.34 eV per formula unit. As for the space group: P-6m2. Its energy above the most stable polymorph in this dataset is 0 meV per atom.

# 2
The following is a PBE calculation of crystalline Sr2H6PdRu at its relaxed geometry, from Alexandria via LeMat-Bulk.

Geometry as CIF:
```
data_Sr2H6PdRu
_symmetry_space_group_name_H-M 'P 1'
_symmetry_Int_Tables_number 1
_cell_length_a 5.164
_cell_length_b 5.164
_cell_length_c 5.498
_cell_angle_alpha 90.00
_cell_angle_beta 90.00
_cell_angle_gamma 120.00
loop_
_symmetry_equiv_pos_as_xyz
'x,y,z'
loop_
_atom_site_label
_atom_site_type_symbol
_atom_site_fract_x
_atom_site_fract_y
_atom_site_fract_z
_atom_site_occupancy
Sr1 Sr 0.333 0.667 0.227 1
Sr2 Sr 0.667 0.333 0.773 1
H1 H 0.155 0.310 0.811 1
H2 H 0.155 0.845 0.811 1
H3 H 0.310 0.155 0.189 1
H4 H 0.690 0.845 0.811 1
H5 H 0.845 0.155 0.189 1
H6 H 0.845 0.690 0.189 1
Pd1 Pd 0.000 0.000 0.500 1
Ru1 Ru 0.000 0.000 0.000 1
```

Results
As for the space group: P-3m1.

Table of raw total energy (eV per atom), in record order: -1.079 -4.260